First-principles (PBE-GGA) data for a relaxed YTa2Ge2 crystal, as listed in Alexandria via LeMat-Bulk.

Results
**Total magnetization**: 0.00 μB/atom
**Energy relative to the elements**: -52 meV per atom
**Crystal system**: tetragonal
**ΔE to the lowest computed polymorph**: 0.473 eV per atom
**D(E_F)**: 3.67 states/eV/f.u.

Cell and atoms, written as CIF:
```
data_YTa2Ge2
_chemical_formula_sum 'Y2 Ta4 Ge4'
_symmetry_space_group_name_H-M 'I 4/m m m'
_symmetry_Int_Tables_number 139
_symmetry_space_group_name_Hall '-I 4 2'
_cell_length_a 4.932
_cell_length_b 4.932
_cell_length_c 8.705
_cell_angle_alpha 90.00
_cell_angle_beta 90.00
_cell_angle_gamma 90.00
loop_
_atom_site_label
_atom_site_type_symbol
_atom_site_fract_x
_atom_site_fract_y
_atom_site_fract_z
Y1 Y 0.000 0.000 0.000
Ta1 Ta 0.000 0.000 0.350
Ge1 Ge 0.000 0.500 0.250
```